Record 1
Cs2RuRhCl | GGA-PBE | relaxed

Calculated values
Symmetry: P4/mmm (123)
Formation energy from raw total energies, kJ/mol of formula units: 377.6
Calculated total energy, eV/atom: -3.25
Size of the total moment, μB/cell: 3.19
N(E_F), states/eV per atom: 0.9466
Crystal system: tetragonal

Unit cell a=6.7585 b=6.7585 c=4.4238 alpha=90.00 beta=90.00 gamma=90.00
Closest atoms and distances in Å follow each position.
Fractional coordinates of all 5 atoms:
Cs1 0.0000 0.5000 0.0000  2 Cl 3.38
Cs2 0.5000 0.0000 0.0000  2 Cl 3.38
Ru1 0.0000 0.0000 0.5000  8 Cs 4.04, 2 Ru 4.42
Rh1 0.5000 0.5000 0.5000  2 Cl 2.21
Cl1 0.5000 0.5000 0.0000  2 Rh 2.21

***

Record 2
Ti2AlFe5Si2 | GGA-PBE | relaxed

Calculated values
Symmetry: P4/mbm (127)
Formation energy from raw total energies, kJ/mol of formula units: -379.0
Calculated total energy, eV/atom: -7.66
Size of the total moment, μB/cell: 4.63
N(E_F), states/eV per atom: 0.8245
Crystal system: tetragonal

Unit cell a=8.8409 b=8.8409 c=3.1950 alpha=90.00 beta=90.00 gamma=90.00
Closest atoms and distances in Å follow each position.
Fractional coordinates of all 20 atoms:
Ti1 0.1727 0.3273 0.0000  3 Si 2.53-2.67, 6 Fe 2.69-2.82
Ti2 0.3273 0.8273 0.0000  3 Si 2.53-2.67, 6 Fe 2.69-2.82
Ti3 0.6727 0.1727 0.0000  3 Si 2.53-2.67, 6 Fe 2.69-2.82
Ti4 0.8273 0.6727 0.0000  3 Si 2.53-2.67, 6 Fe 2.69-2.82
Al1 0.0000 0.0000 0.0000  8 Fe 2.49
Al2 0.5000 0.5000 0.0000  8 Fe 2.49
Fe1 0.0000 0.5000 0.5000  4 Si 2.23
Fe2 0.0661 0.7944 0.5000  2 Si 2.25, 2 Al 2.49
Fe3 0.2056 0.0661 0.5000  2 Si 2.25, 2 Al 2.49
Fe4 0.2944 0.5661 0.5000  2 Si 2.25, 2 Al 2.49
Fe5 0.4339 0.2944 0.5000  2 Si 2.25, 2 Al 2.49
Fe6 0.5000 0.0000 0.5000  4 Si 2.23
Fe7 0.5661 0.7056 0.5000  2 Si 2.25, 2 Al 2.49
Fe8 0.7056 0.4339 0.5000  2 Si 2.25, 2 Al 2.49
Fe9 0.7944 0.9339 0.5000  2 Si 2.25, 2 Al 2.49
Fe10 0.9339 0.2056 0.5000  2 Si 2.25, 2 Al 2.49
Si1 0.1249 0.6249 0.0000  6 Fe 2.23-2.25
Si2 0.3751 0.1249 0.0000  6 Fe 2.23-2.25
Si3 0.6249 0.8751 0.0000  6 Fe 2.23-2.25
Si4 0.8751 0.3751 0.0000  6 Fe 2.23-2.25

***

Record 3
BeCr2Re | GGA-PBE | relaxed

Calculated values
Symmetry: Pmmm (47)
Energy of formation from the pure elements, eV per formula unit: 0.3
Calculated total energy, eV/atom: -8.77
Size of the total moment, μB/cell: 0.96
N(E_F), states/eV per atom: 0.7545
Crystal system: orthorhombic

Unit cell a=3.0422 b=3.8681 c=4.0181 alpha=90.00 beta=90.00 gamma=90.00
Closest atoms and distances in Å follow each position.
Fractional coordinates of all 4 atoms:
Be1 0.0000 0.0000 0.0000  4 Re 2.46, 4 Cr 2.52
Cr1 0.0000 0.5000 0.5000  4 Cr 2.46, 4 Re 2.52
Cr2 0.5000 0.0000 0.5000  4 Cr 2.46, 4 Be 2.52
Re1 0.5000 0.5000 0.0000  4 Be 2.46, 4 Cr 2.52